Record 1
Here is a geometry-optimized TbHo4In2 structure from the Alexandria database. Energies are from PBE-GGA.

formation energy from the elements: -8.79 kJ per mole of atoms
distance to the lowest polymorph of the same formula: 0.000 kcal/mol of atoms
space-group type: Fmmm
crystal system: orthorhombic
DOS at the Fermi energy: 10.80 states/eV/f.u.

Cell and atoms, written as extended XYZ:
```
14
Lattice="-0.8250 9.2488 5.4795 -5.9760 -2.0233 2.5154 5.7181 -1.4259 3.2677" Properties=species:S:1:pos:R:3 pbc="T T T"
Tb 0.0000 0.0000 0.0000
Tb -3.4005 3.6127 3.9975
Ho -3.6744 6.6904 5.8205
Ho -0.7484 5.2116 7.0015
Ho 2.2396 6.2234 5.7438
Ho -6.5258 4.1481 6.1714
Ho -0.2751 3.0773 1.8236
Ho -3.3225 -0.4239 5.5188
Ho -0.3345 0.5878 4.2611
Ho -3.1266 0.5350 2.1744
In -1.7611 -2.1071 3.2913
In 1.5032 -1.3422 2.4918
In -1.8973 2.2705 6.4892
In 0.8144 3.5290 4.7734
```



Record 2
Here is a geometry-optimized TbHo5In structure from the Alexandria database. Energies are from PBE-GGA.

formation energy from the elements: 69.87 kJ per mole of atoms
space-group type: Imm2
crystal system: orthorhombic
DOS at the Fermi energy: 8.13 states/eV/f.u.

Cell and atoms, written as extended XYZ:
```
7
Lattice="-4.1962 -1.1031 -4.3419 -1.0311 -7.3222 2.8568 -1.5059 6.1537 4.2307" Properties=species:S:1:pos:R:3 pbc="T T T"
Tb -3.4678 -0.9116 -3.5882
Ho -3.0402 0.7305 0.7748
Ho -0.6687 -3.7013 1.2700
Ho -5.6058 -3.5049 -0.0084
Ho -2.2049 -6.3245 0.9154
Ho -1.5558 -1.7153 -0.8829
In -2.8716 -4.2805 -1.0094
```



Record 3
Here is a geometry-optimized TbHo3In structure from the Alexandria database. Energies are from PBE-GGA.

formation energy from the elements: -17.80 kJ per mole of atoms
space-group type: C2/m
crystal system: monoclinic
DOS at the Fermi energy: 7.25 states/eV/f.u.

Cell and atoms, written as extended XYZ:
```
10
Lattice="-3.2731 1.7250 3.6309 4.1321 -2.4602 4.8937 5.7271 6.3489 -1.5541" Properties=species:S:1:pos:R:3 pbc="T T T"
Tb 1.3461 1.1951 4.3461
Tb 5.2400 4.4185 2.6244
Ho 5.5232 6.1661 5.7499
Ho 1.0629 -0.5525 1.2207
Ho 3.2007 5.6200 0.2153
Ho 3.3853 -0.0064 6.7552
Ho 4.7647 1.0960 3.7744
Ho 1.8214 4.5177 3.1961
In 3.9488 3.3785 5.6551
In 2.6373 2.2352 1.3155
```



Record 4
Here is a geometry-optimized Tb3HoIn structure from the Alexandria database. Energies are from PBE-GGA.

formation energy from the elements: -18.28 kJ per mole of atoms
distance to the lowest polymorph of the same formula: 0.000 kcal/mol of atoms
space-group type: Cmcm
crystal system: orthorhombic
DOS at the Fermi energy: 5.73 states/eV/f.u.

Cell and atoms, written as extended XYZ:
```
10
Lattice="4.7045 0.0000 1.0751 0.0000 4.8266 0.0000 -0.4434 0.0000 12.7712" Properties=species:S:1:pos:R:3 pbc="T T T"
Tb 3.5841 1.2066 2.1689
Tb 1.3638 1.2066 11.8848
Tb 2.4774 1.2066 7.0119
Tb 1.2429 3.6199 1.5834
Tb 3.7270 3.6199 12.3744
Tb 0.1293 3.6199 6.4563
Ho 1.9205 3.6199 9.4487
Ho 0.6862 1.2066 4.0195
In 3.0232 3.6199 4.6240
In 4.2881 1.2066 9.9193
```



Record 5
Here is a geometry-optimized Tb2HoIn3 structure from the Alexandria database. Energies are from PBE-GGA.

formation energy from the elements: -29.82 kJ per mole of atoms
distance to the lowest polymorph of the same formula: 3.689 kcal/mol of atoms
space-group type: Cmcm
crystal system: orthorhombic
DOS at the Fermi energy: 4.88 states/eV/f.u.

Cell and atoms, written as extended XYZ:
```
12
Lattice="3.6000 0.0000 0.0000 0.0000 6.5421 0.0000 -1.8000 0.0000 14.5622" Properties=species:S:1:pos:R:3 pbc="T T T"
Tb 0.0000 4.9066 4.4007
Tb 1.8000 1.6355 10.1615
Tb 1.8000 4.9066 14.4474
Tb 0.0000 1.6355 0.1147
Ho 0.0000 4.9066 9.6302
Ho 1.8000 1.6355 4.9320
In 0.0000 3.2299 12.3342
In 1.8000 3.3122 2.2280
In 0.0000 0.0411 12.3342
In 1.8000 6.5009 2.2280
In 1.8000 4.9066 7.0576
In 0.0000 1.6355 7.5046
```



Record 6
Here is a geometry-optimized Tb2Ho3In2 structure from the Alexandria database. Energies are from PBE-GGA.

formation energy from the elements: -26.69 kJ per mole of atoms
distance to the lowest polymorph of the same formula: 0.000 kcal/mol of atoms
space-group type: R-3m
crystal system: trigonal
DOS at the Fermi energy: 5.45 states/eV/f.u.

Cell and atoms, written as extended XYZ:
```
7
Lattice="5.3741 0.0000 -0.0003 -2.6870 4.6502 -0.1709 -0.0005 -2.8063 8.1106" Properties=species:S:1:pos:R:3 pbc="T T T"
Tb 2.6869 3.1796 2.0630
Tb -0.0003 -1.3358 5.8764
Ho 2.6870 0.0000 -0.0002
Ho 2.6869 0.1352 3.6700
Ho -0.0003 1.7086 4.2694
In 2.6867 0.2500 6.7985
In -0.0001 1.5939 1.1409
```